Entry 1:
Material: NaAcIr
Method: DFT, PBE
State: optimized geometry

abc: 4.221 4.221 12.812
angles: 99.48 99.48 90.00
Fractional positions:
1 Ac 0.805 0.805 0.611
2 Ac 0.195 0.195 0.389
3 Ir 0.684 0.684 0.368
4 Ir 0.316 0.316 0.632
5 Na 0.570 0.570 0.140
6 Na 0.430 0.430 0.860

Properties
The size of the total moment is 0.000 μB/cell. The crystal system is tetragonal. For the offset from the most stable computed form, the calculation gives 0 meV per atom. For the formation energy, the calculation gives -186 meV/atom. Its symmetry is No. 139. The calculation puts the raw total energy at -4.948 eV/atom.

Entry 2:
Material: NaAc2Ir
Method: DFT, PBE
State: optimized geometry

abc: 4.050 5.356 5.356
angles: 90.00 90.00 90.00
Fractional positions:
1 Ac 0.000 0.500 0.000
2 Ac 0.000 0.000 0.500
3 Na 0.500 0.500 0.500
4 Ir 0.500 0.000 0.000

Properties
The size of the total moment is 0.000 μB/cell. The crystal system is tetragonal. For the formation energy, the calculation gives -39 meV/atom. Its symmetry is No. 123. The calculation puts the raw total energy at -4.638 eV/atom.